The following is a GGA-PBE calculation of a relaxed CuNiGePt crystal, from Alexandria via LeMat-Bulk.

abc: 4.2259 4.2259 4.2259
angles: 60.00 60.00 60.00
Atoms (fractional coordinates):
Ni1 0.7500 0.7500 0.7500
Ge1 0.5000 0.5000 0.5000
Cu1 0.0000 0.0000 0.0000
Pt1 0.2500 0.2500 0.2500

Summary:
- DFT formation energy: -0.2018 eV per atom
- DFT total energy: -5.3357 eV/atom

=====

The following is a GGA-PBE calculation of a relaxed Zr2NiHPd crystal, from Alexandria via LeMat-Bulk.

abc: 4.5445 4.5445 3.5361
angles: 90.00 90.00 90.00
Atoms (fractional coordinates):
Ni1 0.0000 0.0000 0.5000
Zr1 0.0000 0.5000 0.0000
Zr2 0.5000 0.0000 0.0000
Pd1 0.5000 0.5000 0.5000
H1 0.0000 0.0000 0.0000

Summary:
- DFT total energy: -6.7285 eV/atom

=====

The following is a GGA-PBE calculation of a relaxed Hf3ZrRe2 crystal, from Alexandria via LeMat-Bulk.

abc: 3.3059 3.3059 10.5943
angles: 90.00 90.00 90.00
Atoms (fractional coordinates):
Hf1 0.0000 0.0000 0.0000
Hf2 0.0000 0.0000 0.6995
Hf3 0.0000 0.0000 0.3005
Zr1 0.5000 0.5000 0.5000
Re1 0.5000 0.5000 0.8423
Re2 0.5000 0.5000 0.1577

Summary:
- DFT formation energy: -0.2267 eV per atom
- DFT total energy: -10.7775 eV/atom

=====

The following is a GGA-PBE calculation of a relaxed Sm2NpUAs4 crystal, from Alexandria via LeMat-Bulk.

abc: 4.1291 7.1433 7.2589
angles: 109.17 90.00 90.00
Atoms (fractional coordinates):
Sm1 0.5000 0.0000 0.5000
Sm2 0.0000 0.5000 0.5000
Np1 0.0000 0.0000 0.0000
U1 0.5000 0.5000 0.0000
As1 0.5000 0.2484 0.2408
As2 0.5000 0.7516 0.7592
As3 0.0000 0.2545 0.7589
As4 0.0000 0.7455 0.2411

Summary:
- DFT formation energy: -1.1182 eV per atom
- DFT total energy: -7.6514 eV/atom

=====

The following is a GGA-PBE calculation of a relaxed ZrAg2Os crystal, from Alexandria via LeMat-Bulk.

abc: 3.9002 3.9006 4.5898
angles: 90.00 90.00 90.00
Atoms (fractional coordinates):
Ag1 0.0000 0.0000 0.0000
Ag2 0.5000 0.5000 0.0000
Os1 0.5000 0.0000 0.5000
Zr1 0.0000 0.5000 0.5000

Summary:
- DFT formation energy: 0.0796 eV per atom
- DFT total energy: -6.2905 eV/atom

=====

The following is a GGA-PBE calculation of a relaxed Co2ReRu crystal, from Alexandria via LeMat-Bulk.

abc: 4.4944 4.4944 4.4944
angles: 131.56 131.55 70.94
Atoms (fractional coordinates):
Co1 0.9999 0.9999 0.0000
Co2 0.5001 0.5001 0.0000
Re1 0.7500 0.2500 0.5000
Ru1 0.2500 0.7500 0.5000

Summary:
- DFT formation energy: 0.0950 eV per atom
- DFT total energy: -8.8889 eV/atom